No. 1
This record from the Alexandria database describes a relaxed structure of TmPu2P3. The functional is PBE.

Cell: 6.8791 6.8791 6.8791 Å, 146.36 131.79 60.07°
Last column: nearest neighbours and their distance in Å.
Fractional positions:
Tm 0.0000 0.0000 0.0000  6 P 2.81-2.82
Pu 0.3343 0.3343 0.0000  6 P 2.80-2.81
Pu 0.6657 0.6657 0.0000  6 P 2.80-2.81
P 0.1683 0.6683 0.5000  4 Pu 2.81, 2 Tm 2.82
P 0.5000 0.0000 0.5000  4 Pu 2.80, 2 Tm 2.81
P 0.8317 0.3317 0.5000  4 Pu 2.81, 2 Tm 2.82

The total energy is -57.190 eV per formula unit.

=====

No. 2
This record from the Alexandria database describes a relaxed structure of LiAu2Br. The functional is PBE.

Cell: 2.8304 2.8304 10.4973 Å, 90.00 90.00 90.21°
Last column: nearest neighbours and their distance in Å.
Fractional positions:
Li 0.0000 0.0000 0.0000  8 Au 2.73-2.74, 4 Li 2.83
Au 0.5000 0.5000 0.1777  4 Li 2.73-2.74, 4 Au 2.83
Au 0.5000 0.5000 0.8223  4 Li 2.73-2.74, 4 Au 2.83
Br 0.0000 0.0000 0.5000  4 Br 2.83

For the relative energy among the computed polymorphs, the calculation gives 1.303 eV/f.u. The total energy is -10.689 eV per formula unit.